A relaxed structure of Ta2TiNb2. Source: Alexandria via LeMat-Bulk, functional GGA-PBE. Values from VASP.

Calculated values
Calculated formation energy = 0.01 eV per atom
Energy relative to the lowest polymorph listed for this composition = 0.0 meV per atom
Uncorrected energy = -10.339 eV per atom

Quantum ESPRESSO input file:
```
&SYSTEM
  ibrav = 0, nat = 10, ntyp = 3
/
ATOMIC_SPECIES
Ta 180.95 Ta.upf
Ti 47.87 Ti.upf
Nb 92.91 Nb.upf
ATOMIC_POSITIONS angstrom
Ta 2.6203 0.0000 0.7725
Ta 3.8062 2.3243 2.0597
Ta 9.4600 2.3243 0.7725
Ta 10.6458 0.0000 2.0597
Ti -0.2066 0.0000 1.4161
Ti 6.6331 2.3243 1.4161
Nb 0.9721 2.3243 2.5869
Nb 5.4544 0.0000 0.2452
Nb 7.8117 0.0000 2.5869
Nb 12.2941 2.3243 0.2452
CELL_PARAMETERS angstrom
13.6793 0.0000 0.0000
0.0000 4.6486 0.0000
-0.4132 0.0000 2.8322
```

***

A relaxed structure of Ba2Zn3Cd. Source: Alexandria via LeMat-Bulk, functional GGA-PBE. Values from VASP.

Calculated values
Calculated formation energy = -0.21 eV per atom
Uncorrected energy = -1.645 eV per atom

Quantum ESPRESSO input file:
```
&SYSTEM
  ibrav = 0, nat = 12, ntyp = 3
/
ATOMIC_SPECIES
Ba 137.33 Ba.upf
Zn 65.41 Zn.upf
Cd 112.41 Cd.upf
ATOMIC_POSITIONS angstrom
Ba 6.8131 4.8044 8.3883
Ba 2.2669 2.4022 4.1942
Ba 6.8008 7.2066 12.5825
Ba 2.2547 4.8044 8.3883
Zn 4.5339 2.4826 7.0364
Zn 4.5339 4.8044 5.6810
Zn 4.5339 2.4826 9.7402
Zn 4.5339 7.1262 7.0364
Zn 4.5339 4.8044 11.0956
Zn 4.5339 7.1262 9.7402
Cd 4.5339 4.8044 2.7990
Cd 4.5339 4.8044 13.9776
CELL_PARAMETERS angstrom
0.0000 4.8044 8.3883
4.5339 0.0000 8.3883
4.5339 4.8044 0.0000
```

***

A relaxed structure of Ac2BiC. Source: Alexandria via LeMat-Bulk, functional GGA-PBE. Values from VASP.

Calculated values
Calculated formation energy = 0.50 eV per atom
Energy relative to the lowest polymorph listed for this composition = 471.2 meV per atom
Uncorrected energy = -4.833 eV per atom

Quantum ESPRESSO input file:
```
&SYSTEM
  ibrav = 0, nat = 4, ntyp = 3
/
ATOMIC_SPECIES
Ac 227.00 Ac.upf
Bi 208.98 Bi.upf
C 12.01 C.upf
ATOMIC_POSITIONS angstrom
Ac 0.0000 2.7367 0.0000
Ac 2.7367 0.0000 0.0000
Bi 0.0000 0.0000 1.9988
C 2.7367 2.7367 1.9988
CELL_PARAMETERS angstrom
5.4733 0.0000 0.0000
0.0000 5.4733 0.0000
0.0000 0.0000 3.9976
```

***

A relaxed structure of Tb2SmRe. Source: Alexandria via LeMat-Bulk, functional GGA-PBE. Values from VASP.

Calculated values
Calculated formation energy = 0.81 eV per atom
Uncorrected energy = -5.794 eV per atom

Quantum ESPRESSO input file:
```
&SYSTEM
  ibrav = 0, nat = 12, ntyp = 3
/
ATOMIC_SPECIES
Tb 158.93 Tb.upf
Sm 150.36 Sm.upf
Re 186.21 Re.upf
ATOMIC_POSITIONS angstrom
Tb 0.0000 0.0000 2.6757
Tb 0.0000 0.0000 31.6488
Tb 0.0000 1.8759 20.2073
Tb 0.0000 1.8759 25.5588
Tb 1.6246 0.9380 8.7658
Tb 1.6246 0.9380 14.1173
Sm 0.0000 0.0000 17.1623
Sm 0.0000 1.8759 5.7208
Sm 1.6246 0.9380 28.6038
Re 0.0000 0.0000 0.0000
Re 0.0000 1.8759 22.8831
Re 1.6246 0.9380 11.4415
CELL_PARAMETERS angstrom
3.2492 0.0000 0.0000
-1.6246 2.8139 0.0000
0.0000 0.0000 34.3246
```

***

A relaxed structure of YBr. Source: Alexandria via LeMat-Bulk, functional GGA-PBE. Values from VASP.

Calculated values
Uncorrected energy = -4.953 eV per atom
Formation energy without anion corrections = -1.8 eV/f.u.

Quantum ESPRESSO input file:
```
&SYSTEM
  ibrav = 0, nat = 8, ntyp = 2
/
ATOMIC_SPECIES
Y 88.91 Y.upf
Br 79.90 Br.upf
ATOMIC_POSITIONS angstrom
Y 0.5376 0.5376 0.5376
Y 2.4847 5.5070 3.5600
Y 3.5600 2.4847 5.5070
Y 5.5070 3.5600 2.4847
Br 0.8135 3.8359 5.2311
Br 2.2088 2.2088 2.2088
Br 3.8359 5.2311 0.8135
Br 5.2311 0.8135 3.8359
CELL_PARAMETERS angstrom
6.0447 0.0000 0.0000
0.0000 6.0447 0.0000
0.0000 0.0000 6.0447
```

***

A relaxed structure of Ca3Br5Cl. Source: Alexandria via LeMat-Bulk, functional GGA-PBE. Values from VASP.

Calculated values
Uncorrected energy = -3.884 eV per atom
Formation energy without anion corrections = -18.7 eV/f.u.

Quantum ESPRESSO input file:
```
&SYSTEM
  ibrav = 0, nat = 18, ntyp = 3
/
ATOMIC_SPECIES
Ca 40.08 Ca.upf
Br 79.90 Br.upf
Cl 35.45 Cl.upf
ATOMIC_POSITIONS angstrom
Ca 0.0000 0.0000 0.0000
Ca 4.8680 9.6989 2.1812
Ca 4.8680 4.8235 0.0000
Ca 4.8680 0.0000 2.1812
Ca 4.8680 -4.8235 0.0000
Ca 4.8680 -9.6989 2.1812
Br 2.9364 4.7397 2.1812
Br 1.9190 0.0000 2.1812
Br 4.8680 7.7413 0.0000
Br 4.8680 1.8996 0.0000
Br 2.9364 -4.7397 2.1812
Br 6.7995 4.7397 2.1812
Br 4.8680 -1.8996 0.0000
Br 4.8680 -7.7413 0.0000
Br 7.8169 0.0000 2.1812
Br 6.7995 -4.7397 2.1812
Cl 4.8680 11.4312 0.0000
Cl 4.8680 -11.4312 0.0000
CELL_PARAMETERS angstrom
4.8680 -14.2434 0.0000
4.8680 14.2434 0.0000
0.0000 0.0000 4.3625
```

***

A relaxed structure of SrCl4. Source: Alexandria via LeMat-Bulk, functional GGA-PBE. Values from VASP.

Calculated values
Uncorrected energy = -2.777 eV per atom
Formation energy without anion corrections = -4.8 eV/f.u.

Quantum ESPRESSO input file:
```
&SYSTEM
  ibrav = 0, nat = 5, ntyp = 2
/
ATOMIC_SPECIES
Sr 87.62 Sr.upf
Cl 35.45 Cl.upf
ATOMIC_POSITIONS angstrom
Sr 0.0000 0.0000 0.0000
Cl 0.0000 0.0000 2.8686
Cl 0.0000 2.8686 0.0000
Cl 2.8686 0.0000 0.0000
Cl 2.8686 2.8686 2.8686
CELL_PARAMETERS angstrom
5.7373 0.0000 0.0000
0.0000 5.7373 0.0000
0.0000 0.0000 5.7373
```

***

A relaxed structure of RbAuI3. Source: Alexandria via LeMat-Bulk, functional GGA-PBE. Values from VASP.

Calculated values
Uncorrected energy = -2.332 eV per atom
Formation energy without anion corrections = -2.8 eV/f.u.

Quantum ESPRESSO input file:
```
&SYSTEM
  ibrav = 0, nat = 20, ntyp = 3
/
ATOMIC_SPECIES
Rb 85.47 Rb.upf
Au 196.97 Au.upf
I 126.90 I.upf
ATOMIC_POSITIONS angstrom
Rb 5.9192 4.0179 6.9404
Rb 7.3226 1.9002 2.3135
Rb 5.9192 -1.9002 6.9404
Rb 7.3226 -4.0179 2.3135
Au 2.7220 2.1796 6.6355
Au 4.1254 -2.1796 2.0086
Au 9.1164 2.1796 7.2453
Au 10.5198 -2.1796 2.6184
I 3.0819 1.9973 0.6902
I 0.1592 0.8595 5.9904
I 1.5626 -0.8595 1.3634
I 4.5498 1.0630 5.0589
I 1.6785 -1.9973 5.3171
I 5.9532 -1.0630 0.4319
I 7.2886 1.0630 8.8220
I 11.5633 1.9973 3.9368
I 8.6919 -1.0630 4.1950
I 11.6792 0.8595 7.8905
I 13.0826 -0.8595 3.2636
I 10.1599 -1.9973 8.5638
CELL_PARAMETERS angstrom
8.0243 -5.8976 0.0000
8.0243 5.8976 0.0000
-2.8068 0.0000 9.2539
```